AlCrCuF6 | GGA+U | relaxed

abc: 5.3141 5.3141 9.1243
angles: 90.00 90.00 120.00
Last column: nearest neighbours and their distance in Å.
Fractional coordinates of all 18 atoms:
Al 0.3333 0.6667 0.2500  6 F 1.84
Al 0.6667 0.3333 0.7500  6 F 1.84
Cr 0.3333 0.6667 0.7500  6 F 2.15
Cr 0.6667 0.3333 0.2500  6 F 2.15
Cu 0.0000 0.0000 0.0000  6 F 2.30
Cu 0.0000 0.0000 0.5000  6 F 2.30
F 0.0438 0.3810 0.1379  1 Al 1.84
F 0.0438 0.6627 0.3621  1 Al 1.84
F 0.3373 0.3810 0.3621  1 Al 1.84
F 0.3373 0.9562 0.1379  1 Al 1.84
F 0.3810 0.0438 0.6379  1 Al 1.84
F 0.3810 0.3373 0.8621  1 Al 1.84
F 0.6190 0.6627 0.1379  1 Al 1.84
F 0.6190 0.9562 0.3621  1 Al 1.84
F 0.6627 0.0438 0.8621  1 Al 1.84
F 0.6627 0.6190 0.6379  1 Al 1.84
F 0.9562 0.3373 0.6379  1 Al 1.84
F 0.9562 0.6190 0.8621  1 Al 1.84

Computed properties:
**Crystal system**: trigonal
**Symmetry**: P-31c (163)
**Calculated total energy**: -97.89 eV/cell